(1)
A plane-wave DFT calculation with PBE-GGA was carried out for a geometry-optimized CsMn2BiPd structure.

a b c (Å): 5.159 5.940 5.159
angles (deg): 90.00 90.00 90.00
Each line ends with the local moment (μB).
Fractional coordinates of all 5 atoms:
Cs 0.000 0.500 0.000  -0.01
Mn 0.000 0.000 0.500  4.29
Mn 0.500 0.000 0.000  4.32
Bi 0.500 0.500 0.500  -0.36
Pd 0.000 0.000 0.000  0.23

Summary:
Space group: No. 123
Raw total energy, eV/atom: -4.85

(2)
A plane-wave DFT calculation with PBE-GGA was carried out for a geometry-optimized CsMnBiPt2 structure.

a b c (Å): 5.175 6.438 5.175
angles (deg): 90.00 90.00 90.00
Each line ends with the local moment (μB).
Fractional coordinates of all 5 atoms:
Cs 0.000 0.000 0.000  -0.01
Mn 0.500 0.500 0.500  4.49
Bi 0.000 0.500 0.000  -0.34
Pt 0.000 0.000 0.500  -0.02
Pt 0.500 0.000 0.000  0.01

Summary:
Space group: No. 123
Raw total energy, eV/atom: -3.24

(3)
A plane-wave DFT calculation with PBE-GGA was carried out for a geometry-optimized Cs2MnBiS4 structure.

a b c (Å): 6.606 8.203 12.745
angles (deg): 84.01 74.98 66.26
Each line ends with the local moment (μB).
Fractional coordinates of all 16 atoms:
Cs 0.180 0.000 0.640  0.00
Cs 0.820 0.000 0.360  0.00
Cs 0.570 0.500 0.860  0.00
Cs 0.930 0.500 0.140  0.00
Mn 0.250 0.500 0.500  3.44
Mn 0.500 0.000 0.000  3.44
Bi 0.750 0.500 0.500  0.01
Bi 0.000 0.000 0.000  0.01
S 0.346 0.801 0.090  0.02
S 0.237 0.199 0.910  0.02
S 0.853 0.801 0.910  0.02
S 0.564 0.199 0.090  0.02
S 0.404 0.699 0.410  0.02
S 0.513 0.301 0.590  0.02
S 0.897 0.699 0.590  0.02
S 0.186 0.301 0.410  0.02

Summary:
E_form (uncorrected), kJ/mol of formula units: -524
Space group: No. 70

(4)
A plane-wave DFT calculation with PBE-GGA was carried out for a geometry-optimized CsMnBiS2 structure.

a b c (Å): 4.923 5.521 4.923
angles (deg): 90.00 90.00 90.00
Each line ends with the local moment (μB).
Fractional coordinates of all 5 atoms:
Cs 0.000 0.500 0.000  0.04
S 0.000 0.000 0.500  0.03
S 0.500 0.000 0.000  0.04
Mn 0.000 0.000 0.000  3.86
Bi 0.500 0.500 0.500  -0.08

Summary:
E_form (uncorrected), kJ/mol of formula units: 137
Space group: No. 123

(5)
A plane-wave DFT calculation with PBE-GGA was carried out for a geometry-optimized CsMnBiSe3 structure.

a b c (Å): 4.339 9.940 10.342
angles (deg): 109.65 90.00 90.00
Each line ends with the local moment (μB).
Fractional coordinates of all 12 atoms:
Cs 0.250 0.203 0.239  0.00
Cs 0.750 0.797 0.761  0.00
Mn 0.250 0.088 0.609  4.24
Mn 0.750 0.912 0.391  4.24
Bi 0.250 0.663 0.133  0.02
Bi 0.750 0.337 0.867  0.02
Se 0.750 0.871 0.138  0.04
Se 0.250 0.129 0.862  0.04
Se 0.250 0.815 0.467  0.10
Se 0.750 0.185 0.533  0.10
Se 0.750 0.463 0.154  0.01
Se 0.250 0.537 0.846  0.01

Summary:
E_form (uncorrected), kJ/mol of formula units: -396
Space group: No. 11

(6)
A plane-wave DFT calculation with PBE-GGA was carried out for a geometry-optimized CsMn2SiBi structure.

a b c (Å): 5.349 6.297 5.349
angles (deg): 90.00 90.00 90.00
Each line ends with the local moment (μB).
Fractional coordinates of all 5 atoms:
Cs 0.000 0.000 0.000  0.04
Si 0.500 0.500 0.500  -0.01
Mn 0.000 0.000 0.500  3.83
Mn 0.500 0.000 0.000  4.23
Bi 0.000 0.500 0.000  0.08

Summary:
E_form (uncorrected), kJ/mol of formula units: 1106
Space group: No. 123

(7)
A plane-wave DFT calculation with PBE-GGA was carried out for a geometry-optimized Cs2MnBiTe4 structure.

a b c (Å): 7.004 8.746 13.044
angles (deg): 83.83 74.43 66.40
Each line ends with the local moment (μB).
Fractional coordinates of all 16 atoms:
Cs 0.187 0.000 0.626  0.00
Cs 0.813 0.000 0.374  0.00
Cs 0.563 0.500 0.874  0.00
Cs 0.937 0.500 0.126  0.00
Mn 0.250 0.500 0.500  4.11
Mn 0.500 0.000 0.000  4.11
Bi 0.750 0.500 0.500  0.00
Bi 0.000 0.000 0.000  0.00
Te 0.304 0.804 0.132  0.01
Te 0.241 0.196 0.868  0.01
Te 0.891 0.804 0.868  0.01
Te 0.563 0.196 0.132  0.01
Te 0.446 0.696 0.368  0.01
Te 0.509 0.304 0.632  0.01
Te 0.859 0.696 0.632  0.01
Te 0.187 0.304 0.368  0.01

Summary:
E_form (uncorrected), kJ/mol of formula units: -404
Space group: No. 70

(8)
A plane-wave DFT calculation with PBE-GGA was carried out for a geometry-optimized Cs2TiMnBi structure.

a b c (Å): 7.026 4.460 7.026
angles (deg): 90.00 90.00 90.00
Each line ends with the local moment (μB).
Fractional coordinates of all 5 atoms:
Cs 0.000 0.000 0.500  -0.01
Cs 0.500 0.000 0.000  -0.01
Mn 0.000 0.000 0.000  2.86
Bi 0.500 0.500 0.500  0.29
Ti 0.000 0.500 0.000  -1.60

Summary:
Space group: No. 123
Raw total energy, eV/atom: -3.62

(9)
A plane-wave DFT calculation with PBE-GGA was carried out for a geometry-optimized CsBi3Mo structure.

a b c (Å): 5.581 5.581 5.581
angles (deg): 90.00 90.00 90.00
Fractional coordinates of all 5 atoms:
Cs 0.500 0.500 0.500
Mo 0.000 0.000 0.000
Bi 0.000 0.500 0.000
Bi 0.000 0.000 0.500
Bi 0.500 0.000 0.000

Summary:
Space group: No. 221
Raw total energy, eV/atom: -4.36

(10)
A plane-wave DFT calculation with PBE-GGA was carried out for a geometry-optimized CsBiMo3 structure.

a b c (Å): 4.996 4.996 4.996
angles (deg): 90.00 90.00 90.00
Each line ends with the local moment (μB).
Fractional coordinates of all 5 atoms:
Cs 0.000 0.000 0.000  -0.02
Mo 0.000 0.500 0.000  0.62
Mo 0.000 0.000 0.500  0.73
Mo 0.500 0.000 0.000  0.92
Bi 0.500 0.500 0.500  -0.10

Summary:
Space group: No. 221
Raw total energy, eV/atom: -4.46

(11)
A plane-wave DFT calculation with PBE-GGA was carried out for a geometry-optimized Cs2BiMo structure.

a b c (Å): 10.757 10.757 10.757
angles (deg): 93.66 93.66 150.72
Each line ends with the local moment (μB).
Fractional coordinates of all 8 atoms:
Cs 0.625 0.375 0.750  0.02
Cs 0.625 0.875 0.250  0.02
Cs 0.125 0.375 0.750  0.02
Cs 0.625 0.375 0.250  0.02
Bi 0.000 0.000 0.000  -0.17
Bi 0.250 0.750 0.500  -0.17
Mo 0.500 0.500 0.000  2.85
Mo 0.750 0.250 0.500  2.85

Summary:
Space group: No. 141
Raw total energy, eV/atom: -3.40

(12)
A plane-wave DFT calculation with PBE-GGA was carried out for a geometry-optimized CsBi3Mo structure.

a b c (Å): 6.017 6.017 6.017
angles (deg): 90.00 90.00 90.00
Fractional coordinates of all 5 atoms:
Cs 0.000 0.000 0.000
Mo 0.500 0.500 0.500
Bi 0.000 0.500 0.000
Bi 0.000 0.000 0.500
Bi 0.500 0.000 0.000

Summary:
Space group: No. 221
Raw total energy, eV/atom: -2.11

(13)
A plane-wave DFT calculation with PBE-GGA was carried out for a geometry-optimized CsBiMo2N structure.

a b c (Å): 4.293 5.826 4.293
angles (deg): 90.00 90.00 90.00
Fractional coordinates of all 5 atoms:
Cs 0.000 0.500 0.000
Mo 0.000 0.000 0.500
Mo 0.500 0.000 0.000
Bi 0.500 0.500 0.500
N 0.000 0.000 0.000

Summary:
E_form (uncorrected), kJ/mol of formula units: 526
Space group: No. 123

(14)
A plane-wave DFT calculation with PBE-GGA was carried out for a geometry-optimized CsRb2BiMo structure.

a b c (Å): 7.421 6.388 7.421
angles (deg): 90.00 90.00 90.00
Each line ends with the local moment (μB).
Fractional coordinates of all 5 atoms:
Cs 0.000 0.000 0.000  0.00
Mo 0.500 0.500 0.500  4.09
Bi 0.000 0.500 0.000  0.04
Rb 0.000 0.000 0.500  0.00
Rb 0.500 0.000 0.000  0.00

Summary:
Space group: No. 123
Raw total energy, eV/atom: -2.11

(15)
A plane-wave DFT calculation with PBE-GGA was carried out for a geometry-optimized CsBiMo2Rh structure.

a b c (Å): 5.339 6.852 5.339
angles (deg): 90.00 90.00 90.00
Each line ends with the local moment (μB).
Fractional coordinates of all 5 atoms:
Cs 0.000 0.500 0.000  0.00
Mo 0.000 0.000 0.500  3.06
Mo 0.500 0.000 0.000  2.60
Rh 0.500 0.500 0.500  1.01
Bi 0.000 0.000 0.000  -0.20

Summary:
Space group: No. 123
Raw total energy, eV/atom: -4.39

(16)
A plane-wave DFT calculation with PBE-GGA was carried out for a geometry-optimized CsBiMoS2 structure.

a b c (Å): 4.888 5.566 4.888
angles (deg): 90.00 90.00 90.00
Fractional coordinates of all 5 atoms:
Cs 0.500 0.500 0.500
Mo 0.000 0.000 0.000
S 0.000 0.000 0.500
S 0.500 0.000 0.000
Bi 0.000 0.500 0.000

Summary:
E_form (uncorrected), kJ/mol of formula units: -59
Space group: No. 123

(17)
A plane-wave DFT calculation with PBE-GGA was carried out for a geometry-optimized CsBiTe2Mo structure.

a b c (Å): 5.565 5.468 5.565
angles (deg): 90.00 90.00 90.00
Each line ends with the local moment (μB).
Fractional coordinates of all 5 atoms:
Cs 0.500 0.500 0.500  0.00
Mo 0.000 0.000 0.000  0.35
Te 0.000 0.000 0.500  0.00
Te 0.500 0.000 0.000  0.00
Bi 0.000 0.500 0.000  -0.04

Summary:
E_form (uncorrected), kJ/mol of formula units: 24
Space group: No. 123

(18)
A plane-wave DFT calculation with PBE-GGA was carried out for a geometry-optimized CsBi3N structure.

a b c (Å): 6.360 6.360 6.360
angles (deg): 90.00 90.00 90.00
Fractional coordinates of all 5 atoms:
Cs 0.000 0.000 0.000
Bi 0.000 0.500 0.000
Bi 0.000 0.000 0.500
Bi 0.500 0.000 0.000
N 0.500 0.500 0.500

Summary:
E_form (uncorrected), kJ/mol of formula units: 1296
Space group: No. 221

(19)
A plane-wave DFT calculation with PBE-GGA was carried out for a geometry-optimized CsBi3N structure.

a b c (Å): 5.242 5.242 5.242
angles (deg): 90.00 90.00 90.00
Fractional coordinates of all 5 atoms:
Cs 0.500 0.500 0.500
Bi 0.000 0.500 0.000
Bi 0.000 0.000 0.500
Bi 0.500 0.000 0.000
N 0.000 0.000 0.000

Summary:
E_form (uncorrected), kJ/mol of formula units: 258
Space group: No. 221

(20)
A plane-wave DFT calculation with PBE-GGA was carried out for a geometry-optimized Cs2BiN2 structure.

a b c (Å): 4.699 4.699 8.530
angles (deg): 74.07 74.07 89.99
Each line ends with the local moment (μB).
Fractional coordinates of all 5 atoms:
Cs 0.667 0.667 0.166  0.01
Cs 0.333 0.333 0.834  0.01
Bi 0.000 0.000 0.500  0.08
N 0.866 0.866 0.768  0.31
N 0.134 0.134 0.232  0.31

Summary:
E_form (uncorrected), kJ/mol of formula units: 339
Space group: No. 12